The following is a DFT calculation (PBE) of a relaxed structure of Cs2CdAgHg.

Cell and atoms, written as POSCAR:
```
Cs2CdAgHg
1.0
6.9377 0.0000 0.0000
0.0000 6.9377 0.0000
0.0000 0.0000 5.4640
Cs Cd Ag Hg
2 1 1 1
Cartesian
0.0000 3.4689 0.0000
3.4689 0.0000 0.0000
0.0000 0.0000 2.7320
0.0000 0.0000 0.0000
3.4689 3.4689 2.7320
```

Summary:
- VASP energy (eV per atom) = -1.156
- ΔE_f (eV per atom) = -0.001
- magnetic moment (μB/cell) = 0.00
- energy above the lowest structure with this stoichiometry (meV per atom) = 0